[1]
Compound: NdPt3
Source: the Alexandria database
Functional: GGA-PBEsol
Structure: relaxed

abc: 4.135 4.135 4.135
angles: 90.00 90.00 90.00
Atoms (fractional coordinates):
1 Nd 0.000 0.000 0.000
2 Pt 0.000 0.500 0.500
3 Pt 0.500 0.000 0.500
4 Pt 0.500 0.500 0.000

Summary:
SG: No. 221
Formation enthalpy at 0 K (eV per atom): -0.82
Volume (Å³/atom): 17.68

=====

[2]
Compound: NdPt2
Source: the Alexandria database
Functional: GGA-PBEsol
Structure: relaxed

abc: 5.437 5.437 5.437
angles: 60.00 60.00 60.00
Atoms (fractional coordinates):
1 Nd 0.125 0.125 0.125
2 Nd 0.875 0.875 0.875
3 Pt 0.000 0.500 0.500
4 Pt 0.500 0.000 0.500
5 Pt 0.500 0.500 0.000
6 Pt 0.500 0.500 0.500

Summary:
SG: No. 227
Formation enthalpy at 0 K (eV per atom): -1.05
Volume (Å³/atom): 18.94

=====

[3]
Compound: NdSnPt
Source: the Alexandria database
Functional: GGA-PBEsol
Structure: relaxed

abc: 7.526 7.526 4.085
angles: 90.00 90.00 120.00
Atoms (fractional coordinates):
1 Nd 0.000 0.410 0.000
2 Nd 0.410 0.000 0.000
3 Nd 0.590 0.590 0.000
4 Sn 0.000 0.746 0.500
5 Sn 0.254 0.254 0.500
6 Sn 0.746 0.000 0.500
7 Pt 0.000 0.000 0.000
8 Pt 0.333 0.667 0.500
9 Pt 0.667 0.333 0.500

Summary:
SG: No. 189
Formation enthalpy at 0 K (eV per atom): -1.07
Volume (Å³/atom): 22.27

=====

[4]
Compound: NdSnPt
Source: the Alexandria database
Functional: GGA-PBEsol
Structure: relaxed

abc: 7.355 4.589 7.989
angles: 90.00 90.00 90.00
Atoms (fractional coordinates):
1 Nd 0.012 0.250 0.194
2 Nd 0.488 0.750 0.694
3 Nd 0.512 0.250 0.306
4 Nd 0.988 0.750 0.806
5 Sn 0.176 0.250 0.583
6 Sn 0.324 0.750 0.083
7 Sn 0.676 0.250 0.917
8 Sn 0.824 0.750 0.417
9 Pt 0.210 0.750 0.408
10 Pt 0.290 0.250 0.908
11 Pt 0.710 0.750 0.092
12 Pt 0.790 0.250 0.592

Summary:
SG: No. 62
Formation enthalpy at 0 K (eV per atom): -1.06
Volume (Å³/atom): 22.47

=====

[5]
Compound: RbNdSe2
Source: the Alexandria database
Functional: GGA-PBEsol
Structure: relaxed

abc: 8.267 8.267 8.267
angles: 30.18 30.18 30.18
Atoms (fractional coordinates):
1 Rb 0.000 0.000 0.000
2 Nd 0.500 0.500 0.500
3 Se 0.234 0.234 0.234
4 Se 0.766 0.766 0.766

Summary:
Energy relative to the elements, uncorrected (meV/atom): -1718
SG: No. 166
Volume (Å³/atom): 31.63

=====

[6]
Compound: RbNdTe2
Source: the Alexandria database
Functional: GGA-PBEsol
Structure: relaxed

abc: 8.829 8.829 8.829
angles: 29.95 29.95 29.95
Atoms (fractional coordinates):
1 Rb 0.000 0.000 0.000
2 Nd 0.500 0.500 0.500
3 Te 0.236 0.236 0.236
4 Te 0.764 0.764 0.764

Summary:
Energy relative to the elements, uncorrected (meV/atom): -1376
SG: No. 166
Volume (Å³/atom): 37.99

=====

[7]
Compound: RbNdTe4
Source: the Alexandria database
Functional: GGA-PBEsol
Structure: relaxed

abc: 6.838 6.838 9.116
angles: 90.00 90.00 90.00
Atoms (fractional coordinates):
1 Rb 0.250 0.250 0.000
2 Rb 0.750 0.750 0.000
3 Nd 0.250 0.250 0.500
4 Nd 0.750 0.750 0.500
5 Te 0.105 0.605 0.293
6 Te 0.105 0.895 0.707
7 Te 0.395 0.605 0.707
8 Te 0.395 0.895 0.293
9 Te 0.605 0.105 0.707
10 Te 0.605 0.395 0.293
11 Te 0.895 0.105 0.293
12 Te 0.895 0.395 0.707

Summary:
Energy relative to the elements, uncorrected (meV/atom): -949
SG: No. 125
Volume (Å³/atom): 35.51

=====

[8]
Compound: NdRe2
Source: the Alexandria database
Functional: GGA-PBEsol
Structure: relaxed

abc: 5.464 5.464 8.785
angles: 90.00 90.00 120.00
Atoms (fractional coordinates):
1 Nd 0.333 0.667 0.063
2 Nd 0.333 0.667 0.437
3 Nd 0.667 0.333 0.563
4 Nd 0.667 0.333 0.937
5 Re 0.000 0.000 0.000
6 Re 0.000 0.000 0.500
7 Re 0.170 0.340 0.750
8 Re 0.170 0.830 0.750
9 Re 0.340 0.170 0.250
10 Re 0.660 0.830 0.750
11 Re 0.830 0.170 0.250
12 Re 0.830 0.660 0.250

Summary:
SG: No. 194
Formation enthalpy at 0 K (eV per atom): 0.03
Volume (Å³/atom): 18.93

=====

[9]
Compound: Nd5Rh4
Source: the Alexandria database
Functional: GGA-PBEsol
Structure: relaxed

abc: 7.406 14.726 7.580
angles: 90.00 90.00 90.00
Atoms (fractional coordinates):
1 Nd 0.011 0.092 0.180
2 Nd 0.011 0.408 0.180
3 Nd 0.161 0.122 0.668
4 Nd 0.161 0.378 0.668
5 Nd 0.175 0.750 0.513
6 Nd 0.325 0.250 0.013
7 Nd 0.339 0.622 0.168
8 Nd 0.339 0.878 0.168
9 Nd 0.489 0.592 0.680
10 Nd 0.489 0.908 0.680
11 Nd 0.511 0.092 0.320
12 Nd 0.511 0.408 0.320
13 Nd 0.661 0.122 0.832
14 Nd 0.661 0.378 0.832
15 Nd 0.675 0.750 0.987
16 Nd 0.825 0.250 0.487
17 Nd 0.839 0.622 0.332
18 Nd 0.839 0.878 0.332
19 Nd 0.989 0.592 0.820
20 Nd 0.989 0.908 0.820
21 Rh 0.042 0.750 0.099
22 Rh 0.178 0.539 0.466
23 Rh 0.178 0.961 0.466
24 Rh 0.199 0.250 0.355
25 Rh 0.301 0.750 0.855
26 Rh 0.322 0.039 0.966
27 Rh 0.322 0.461 0.966
28 Rh 0.458 0.250 0.599
29 Rh 0.542 0.750 0.401
30 Rh 0.678 0.539 0.034
31 Rh 0.678 0.961 0.034
32 Rh 0.699 0.250 0.145
33 Rh 0.801 0.750 0.645
34 Rh 0.822 0.039 0.534
35 Rh 0.822 0.461 0.534
36 Rh 0.958 0.250 0.901

Summary:
SG: No. 62
Formation enthalpy at 0 K (eV per atom): -0.59
Volume (Å³/atom): 22.96

=====

[10]
Compound: NdRh3
Source: the Alexandria database
Functional: GGA-PBEsol
Structure: relaxed

abc: 5.248 5.248 17.374
angles: 90.00 90.00 120.00
Atoms (fractional coordinates):
1 Nd 0.333 0.667 0.041
2 Nd 0.333 0.667 0.250
3 Nd 0.333 0.667 0.459
4 Nd 0.667 0.333 0.541
5 Nd 0.667 0.333 0.750
6 Nd 0.667 0.333 0.959
7 Rh 0.000 0.000 0.000
8 Rh 0.000 0.000 0.250
9 Rh 0.000 0.000 0.500
10 Rh 0.000 0.000 0.750
11 Rh 0.167 0.333 0.628
12 Rh 0.167 0.333 0.872
13 Rh 0.167 0.833 0.628
14 Rh 0.167 0.833 0.872
15 Rh 0.333 0.167 0.128
16 Rh 0.333 0.167 0.372
17 Rh 0.333 0.667 0.750
18 Rh 0.667 0.333 0.250
19 Rh 0.667 0.833 0.628
20 Rh 0.667 0.833 0.872
21 Rh 0.833 0.167 0.128
22 Rh 0.833 0.167 0.372
23 Rh 0.833 0.667 0.128
24 Rh 0.833 0.667 0.372

Summary:
SG: No. 194
Formation enthalpy at 0 K (eV per atom): -0.47
Volume (Å³/atom): 17.27

=====

[11]
Compound: NdSi2Rh3
Source: the Alexandria database
Functional: GGA-PBEsol
Structure: relaxed

abc: 5.508 5.508 3.652
angles: 90.00 90.00 120.00
Atoms (fractional coordinates):
1 Nd 0.000 0.000 0.000
2 Si 0.333 0.667 0.000
3 Si 0.667 0.333 0.000
4 Rh 0.000 0.500 0.500
5 Rh 0.500 0.000 0.500
6 Rh 0.500 0.500 0.500

Summary:
Energy relative to the elements, uncorrected (meV/atom): -1048
SG: No. 191
Offset from the most stable computed form (eV per atom): 0.040
Volume (Å³/atom): 15.99

=====

[12]
Compound: NdSi3Rh
Source: the Alexandria database
Functional: GGA-PBEsol
Structure: relaxed

abc: 5.703 5.703 5.703
angles: 136.80 136.80 62.75
Atoms (fractional coordinates):
1 Nd 0.000 0.000 0.000
2 Si 0.237 0.737 0.500
3 Si 0.586 0.586 0.000
4 Si 0.737 0.237 0.500
5 Rh 0.346 0.346 0.000

Summary:
Energy relative to the elements, uncorrected (meV/atom): -880
SG: No. 107
Volume (Å³/atom): 17.17